Entry from the Alexandria database: a relaxed Ti2NiMo crystal (PBE).

The space group is P4/mmm (No. 123) and the conventional cell measures 4.3236, 4.3236 and 3.1475 Å, with angles of 90.00, 90.00 and 90.00 degrees. The inequivalent atoms are Ti at (0.0000, 0.5000, 0.0000), Ni at (0.0000, 0.0000, 0.5000) and Mo at (0.5000, 0.5000, 0.5000).

For the final energy, the calculation gives -8.372 eV/atom. The calculation puts the size of the total moment at 0.00 Bohr magnetons per cell. The value obtained for the formation energy is -271 meV/atom. The energy above the most stable polymorph in this dataset comes out at 17 meV per atom.